Mg3Cd4 | PBE-GGA | optimized geometry

Properties
* ΔH_f (0 K): -0.070 eV per atom
* polymorph energy (0 for the lowest one): 13 meV per atom

a = 13.1490 Å, b = 13.1490 Å, c = 6.1033 Å
α = 90.00°, β = 90.00°, γ = 120.00°
Space group R-3 (No. 148, hexagonal axes)
Unique sites:
1 Mg 0.0490 0.8113 0.1688 x18
2 Cd 0.0000 0.0000 0.0000 x3
3 Cd 0.0000 0.0000 0.5000 x3
4 Cd 0.0489 0.8079 0.6693 x18

=====

Mg5Cd | PBE-GGA | optimized geometry

Properties
* ΔH_f (0 K): -0.042 eV per atom

a = 4.5511 Å, b = 13.5261 Å, c = 4.3667 Å
α = 90.00°, β = 90.00°, γ = 90.00°
Space group Cmmm (No. 65)
Unique sites:
1 Mg 0.0000 0.0000 0.0000 x2
2 Mg 0.0000 0.1652 0.5000 x4
3 Mg 0.0000 0.3344 0.0000 x4
4 Cd 0.0000 0.5000 0.5000 x2

=====

MgCd | PBE-GGA | optimized geometry

Properties
* ΔH_f (0 K): -0.086 eV per atom

a = 3.3357 Å, b = 11.2786 Å, c = 4.7082 Å
α = 90.00°, β = 90.00°, γ = 90.00°
Space group Cmcm (No. 63)
Unique sites:
1 Mg 0.0000 0.1650 0.2500 x4
2 Cd 0.0000 0.4229 0.2500 x4

=====

MgCd6 | PBE-GGA | optimized geometry

Properties
* ΔH_f (0 K): 0.008 eV per atom
* polymorph energy (0 for the lowest one): 12 meV per atom

a = 13.2205 Å, b = 13.2205 Å, c = 3.1881 Å
α = 90.00°, β = 90.00°, γ = 120.00°
Space group R-3 (No. 148, hexagonal axes)
Unique sites:
1 Mg 0.0000 0.0000 0.0000 x3
2 Cd 0.0490 0.2409 0.5059 x18